[1]
Ca2ErZn after structural relaxation. Source: Alexandria via LeMat-Bulk, functional PBE.

abc: 3.5821 3.5821 9.4727
angles: 90.00 90.00 90.00
Element x y z (fractional)
1 Zn 0.5000 0.5000 0.0000
2 Ca 0.0000 0.0000 0.7992
3 Ca 0.0000 0.0000 0.2008
4 Er 0.5000 0.5000 0.5000

## Properties
Excess energy over the best structure of this formula in the dataset in meV/atom: 0


[2]
CaErZn after structural relaxation. Source: Alexandria via LeMat-Bulk, functional PBE.

abc: 3.6057 3.6057 6.8802
angles: 105.19 105.19 90.00
Element x y z (fractional)
1 Zn 0.6770 0.6770 0.3539
2 Ca 0.0237 0.0237 0.0474
3 Er 0.2993 0.2993 0.5987

## Properties
Excess energy over the best structure of this formula in the dataset in meV/atom: 0


[3]
Ca2ErZn9 after structural relaxation. Source: Alexandria via LeMat-Bulk, functional PBE.

abc: 5.4599 5.4599 9.1804
angles: 72.70 72.70 60.00
Element x y z (fractional)
1 Ca 0.8581 0.8581 0.4256
2 Ca 0.1419 0.1419 0.5744
3 Er 0.0000 0.0000 0.0000
4 Zn 0.6652 0.6652 0.0044
5 Zn 0.3348 0.3348 0.9956
6 Zn 0.5000 0.5000 0.5000
7 Zn 0.4163 0.4163 0.2433
8 Zn 0.9242 0.4163 0.2433
9 Zn 0.4163 0.9242 0.2433
10 Zn 0.5837 0.5837 0.7567
11 Zn 0.5837 0.0758 0.7567
12 Zn 0.0758 0.5837 0.7567


[4]
CaErZr after structural relaxation. Source: Alexandria via LeMat-Bulk, functional PBE.

abc: 3.4255 3.4255 8.0959
angles: 102.21 102.21 90.00
Element x y z (fractional)
1 Ca 0.0076 0.0076 0.0153
2 Zr 0.6776 0.6776 0.3552
3 Er 0.3148 0.3148 0.6295

## Properties
Excess energy over the best structure of this formula in the dataset in meV/atom: 0


[5]
CaErZr after structural relaxation. Source: Alexandria via LeMat-Bulk, functional PBE.

abc: 6.3206 6.3206 9.1333
angles: 79.36 79.36 30.81
Element x y z (fractional)
1 Ca 0.7888 0.7888 0.8533
2 Ca 0.9644 0.9644 0.4541
3 Er 0.7253 0.7253 0.2442
4 Er 0.0279 0.0279 0.0631
5 Zr 0.2113 0.2113 0.5544
6 Zr 0.5419 0.5419 0.7530

## Properties
Excess energy over the best structure of this formula in the dataset in meV/atom: 100


[6]
Ca2Eu after structural relaxation. Source: Alexandria via LeMat-Bulk, functional PBE.

abc: 7.2714 7.2714 7.2714
angles: 60.00 60.00 60.00
Site moments in Bohr magnetons follow the coordinates.
Element x y z (fractional)
1 Eu 0.0000 0.0000 0.0000  -6.96
2 Eu 0.2500 0.2500 0.2500  -6.96
3 Ca 0.1250 0.6250 0.6250  0.00
4 Ca 0.6250 0.1250 0.6250  0.00
5 Ca 0.6250 0.6250 0.6250  0.00
6 Ca 0.6250 0.6250 0.1250  0.00

## Properties
Excess energy over the best structure of this formula in the dataset in meV/atom: 53


[7]
Ca3Eu after structural relaxation. Source: Alexandria via LeMat-Bulk, functional PBE.

abc: 3.8742 6.8075 7.5472
angles: 116.81 104.87 90.00
Site moments in Bohr magnetons follow the coordinates.
Element x y z (fractional)
1 Eu 0.0000 0.0015 0.0000  6.97
2 Ca 0.2488 0.5799 0.4976  0.01
3 Ca 0.5000 0.5030 0.0000  0.03
4 Ca 0.7512 0.0823 0.5024  0.01

## Properties
Excess energy over the best structure of this formula in the dataset in meV/atom: 5


[8]
Ca3Eu after structural relaxation. Source: Alexandria via LeMat-Bulk, functional PBE.

abc: 7.8175 7.8175 6.4427
angles: 90.00 90.00 120.00
Site moments in Bohr magnetons follow the coordinates.
Element x y z (fractional)
1 Ca 0.1667 0.3334 0.2500  -0.02
2 Ca 0.6666 0.8333 0.2500  -0.02
3 Ca 0.1667 0.8333 0.2500  -0.02
4 Ca 0.8333 0.6666 0.7500  -0.02
5 Ca 0.3334 0.1667 0.7500  -0.02
6 Ca 0.8333 0.1667 0.7500  -0.02
7 Eu 0.3333 0.6667 0.7500  -6.97
8 Eu 0.6667 0.3333 0.2500  -6.97

## Properties
Excess energy over the best structure of this formula in the dataset in meV/atom: 0


| no. | total DFT energy (no corrections) (eV for the cell shown) |
| --- | --- |
| 1 | -9.90 |
| 2 | -8.31 |
| 3 | -23.08 |
| 4 | -14.64 |
| 5 | -28.69 |
| 6 | -28.07 |
| 7 | -16.20 |
| 8 | -32.44 |